Computed, not measured: crystalline BaLa2ScOs at its relaxed geometry at the GGA-PBE level of DFT.

- E_form: -39 meV per atom
- E_tot: -29.53 eV/f.u.
- Fermi-level density of states: 4.011 states/eV/f.u.
- Size of the total moment: 0.00 μB/cell

Cell lengths 5.738, 5.738, 5.336 Å; angles 90.00, 90.00, 90.00 degrees
Element x y z (fractional)
Ba 0.000 0.000 0.000
La 0.000 0.500 0.500
La 0.500 0.000 0.500
Sc 0.500 0.500 0.000
Os 0.500 0.500 0.500

Computed, not measured: crystalline AcLaThGa at its relaxed geometry at the GGA-PBE level of DFT.

- E_form: 68 meV per atom
- E_tot: -19.21 eV/f.u.
- Fermi-level density of states: 5.881 states/eV/f.u.
- Size of the total moment: 0.00 μB/cell

Cell lengths 7.958, 7.958, 7.958 Å; angles 90.00, 90.00, 90.00 degrees
Element x y z (fractional)
Ac 0.000 0.000 0.000
Ac 0.000 0.500 0.500
Ac 0.500 0.000 0.500
Ac 0.500 0.500 0.000
La 0.250 0.250 0.750
La 0.250 0.750 0.250
La 0.750 0.250 0.250
La 0.750 0.750 0.750
Th 0.250 0.250 0.250
Th 0.250 0.750 0.750
Th 0.750 0.250 0.750
Th 0.750 0.750 0.250
Ga 0.000 0.000 0.500
Ga 0.000 0.500 0.000
Ga 0.500 0.000 0.000
Ga 0.500 0.500 0.500

Computed, not measured: crystalline Pu2GaCl6 at its relaxed geometry at the GGA-PBE level of DFT.

- E_tot: -57.39 eV/f.u.
- Fermi-level density of states: 24.927 states/eV/f.u.
- Uncorrected formation energy: -1.625 eV per atom
- Size of the total moment: 11.00 μB/cell

Cell lengths 7.821, 7.821, 7.821 Å; angles 56.19, 56.19, 56.19 degrees
Element x y z (fractional)
Pu 0.000 0.000 0.000
Pu 0.192 0.192 0.192
Ga 0.500 0.500 0.500
Cl 0.110 0.809 0.370
Cl 0.247 0.597 0.939
Cl 0.370 0.110 0.809
Cl 0.597 0.939 0.247
Cl 0.809 0.370 0.110
Cl 0.939 0.247 0.597

Computed, not measured: crystalline LaCu2Rh2 at its relaxed geometry at the GGA-PBE level of DFT.

- E_form: -220 meV per atom
- E_tot: -28.92 eV/f.u.
- Fermi-level density of states: 3.140 states/eV/f.u.
- Energy above the lowest structure with this stoichiometry: 0 meV per atom
- Size of the total moment: 0.00 μB/cell

Cell lengths 3.847, 3.847, 11.996 Å; angles 90.00, 90.00, 90.00 degrees
Element x y z (fractional)
La 0.000 0.000 0.000
La 0.500 0.500 0.500
Cu 0.000 0.500 0.250
Cu 0.000 0.500 0.750
Cu 0.500 0.000 0.250
Cu 0.500 0.000 0.750
Rh 0.000 0.000 0.389
Rh 0.000 0.000 0.611
Rh 0.500 0.500 0.111
Rh 0.500 0.500 0.889